Crystalline Tb2Y3Te8 at its relaxed geometry. Source: the Alexandria database, functional GGA-PBE.

a b c (Å): 15.3334 8.7127 7.5140
angles (deg): 90.00 108.60 90.00
Space group C2/m (No. 12)
Unique sites:
Tb1 0.2495 0.0000 0.1691 x4
Y1 0.0000 0.2425 0.5000 x4
Y2 0.0000 0.5000 0.0000 x2
Te1 0.1175 0.0000 0.3987 x4
Te2 0.1211 0.5000 0.4159 x4
Te3 0.1217 0.2518 0.9129 x8

The calculation puts the formation energy (no corrections) at -1.2726 eV/atom. The uncorrected energy is -5.4100 eV per atom. For the magnetic moment, the calculation gives 0.0 μB per formula unit.